Version i
Material: LiLa2Ta
Method: DFT, GGA-PBE
State: optimized geometry

N(E_F), states/eV/f.u.: 5.1
Magnetic moment, μB/f.u.: 0.0
V, A^3/atom: 25.08
Space group: Pmmm

a b c (Å): 3.312 5.705 5.309
angles (deg): 90.00 90.00 90.00
Fractional coordinates of all 4 atoms:
1 La 0.000 0.000 0.000
2 La 0.500 0.500 0.000
3 Li 0.500 0.000 0.500
4 Ta 0.000 0.500 0.500

Version ii
Material: LiLa2Ta
Method: DFT, GGA-PBE
State: optimized geometry

N(E_F), states/eV/f.u.: 4.2
Magnetic moment, μB/f.u.: 0.0
V, A^3/atom: 26.40
Space group: Cm

a b c (Å): 6.040 6.040 5.756
angles (deg): 75.33 75.33 31.41
Fractional coordinates of all 4 atoms:
1 La 0.975 0.975 0.071
2 La 0.766 0.766 0.701
3 Li 0.534 0.534 0.521
4 Ta 0.225 0.225 0.207

Version iii
Material: LiLa2Ta
Method: DFT, GGA-PBE
State: optimized geometry

N(E_F), states/eV/f.u.: 4.7
Magnetic moment, μB/f.u.: 0.6
V, A^3/atom: 26.56
Space group: C2/m

a b c (Å): 5.241 5.241 6.720
angles (deg): 84.62 84.62 35.34
Site moments in Bohr magnetons follow the coordinates.
Fractional coordinates of all 4 atoms:
1 La 0.998 0.998 0.015  0.05
2 La 0.502 0.502 0.485  0.05
3 Li 0.750 0.750 0.750  0.00
4 Ta 0.250 0.250 0.250  0.30

Which of them is most stable, and which least? Most stable: version ii; least stable: version i.

Version i
Material: Li2LaTe2
Method: DFT, GGA-PBE
State: optimized geometry

N(E_F), states/eV/f.u.: 2.1
Magnetic moment, μB/f.u.: 0.0
V, A^3/atom: 24.04
Space group: P4/mbm

a b c (Å): 7.936 7.936 3.818
angles (deg): 90.00 90.00 90.00
Fractional coordinates of all 10 atoms:
1 Te 0.187 0.687 0.500
2 Te 0.687 0.813 0.500
3 Te 0.813 0.313 0.500
4 Te 0.313 0.187 0.500
5 Li 0.388 0.888 0.000
6 Li 0.888 0.612 0.000
7 Li 0.612 0.112 0.000
8 Li 0.112 0.388 0.000
9 La 0.000 0.000 0.000
10 La 0.500 0.500 0.000

Version ii
Material: Li2LaTe2
Method: DFT, GGA-PBE
State: optimized geometry

N(E_F), states/eV/f.u.: 2.1
Magnetic moment, μB/f.u.: 0.0
V, A^3/atom: 24.89
Space group: I4/mmm

a b c (Å): 4.130 4.130 7.859
angles (deg): 74.77 74.77 90.00
Fractional coordinates of all 5 atoms:
1 Te 0.376 0.376 0.247
2 Te 0.624 0.624 0.753
3 Li 0.750 0.250 0.500
4 Li 0.250 0.750 0.500
5 La 0.000 0.000 0.000

Which of them is most stable, and which least? Most stable: version ii; least stable: version i.